Lu2CoSn: optimized geometry, GGA-PBE.

Results
Formation enthalpy at 0 K   -434 meV per atom
Total DFT energy (no corrections)   -5.472 eV/atom
Distance to the lowest polymorph of the same formula   0.000 eV per atom
ρ   10.2 g/cm3

The structure in CIF format:
```
data_Lu2CoSn
_chemical_formula_sum 'Lu2 Co1 Sn1'
_space_group_name_H-M_alt 'P 4/m m m'
_space_group_IT_number 123
_space_group_name_Hall '-P 4 2'
_cell_length_a 3.318
_cell_length_b 3.318
_cell_length_c 7.768
_cell_angle_alpha 90.00
_cell_angle_beta 90.00
_cell_angle_gamma 90.00
loop_
_atom_site_label
_atom_site_type_symbol
_atom_site_fract_x
_atom_site_fract_y
_atom_site_fract_z
Lu1 Lu 0.000 0.000 0.204
Co1 Co 0.500 0.500 0.000
Sn1 Sn 0.500 0.500 0.500
```